Material: CaNbReTc2
Method: DFT, meta-GGA SCAN
State: single point on PBEsol structure

Lattice parameters (Å, degrees): 4.7407 4.7407 4.8159 90.00 90.00 90.00
Positions (direct):
Ca  0.0000  0.0000  0.0000
Nb  0.5000  0.5000  0.5000
Re  0.5000  0.5000  0.0000
Tc  0.0000  0.5000  0.5000
Tc  0.5000  0.0000  0.5000

Calculated values
**Spin magnetization**: 2.74 μB/cell
**Space-group type**: No. 123
**Energy of formation from the pure elements**: 139.4 kJ per mole of atoms
**Total energy**: -35.36 eV per atom

Material: CaNbRh
Method: DFT, meta-GGA SCAN
State: single point on PBEsol structure

Lattice parameters (Å, degrees): 3.1923 3.1923 12.2511 90.00 90.00 90.00
Positions (direct):
Ca  0.2500  0.2500  0.1421
Ca  0.7500  0.7500  0.8579
Nb  0.2500  0.2500  0.4251
Nb  0.7500  0.7500  0.5749
Rh  0.2500  0.2500  0.6909
Rh  0.7500  0.7500  0.3091

Calculated values
**Spin magnetization**: 0.10 μB/cell
**Space-group type**: No. 129
**Energy of formation from the pure elements**: -32.5 kJ per mole of atoms
**Total energy**: -25.86 eV per atom

Material: Ca2NbRu
Method: DFT, meta-GGA SCAN
State: single point on PBEsol structure

Lattice parameters (Å, degrees): 4.9487 4.9487 4.9487 60.00 60.00 60.00
Positions (direct):
Ca  0.2500  0.2500  0.2500
Ca  0.7500  0.7500  0.7500
Nb  0.0000  0.0000  0.0000
Ru  0.5000  0.5000  0.5000

Calculated values
**Spin magnetization**: 3.33 μB/cell
**Space-group type**: No. 225
**Energy of formation from the pure elements**: 77.6 kJ per mole of atoms
**Total energy**: -21.02 eV per atom

Material: CaNb2Ru
Method: DFT, meta-GGA SCAN
State: single point on PBEsol structure

Lattice parameters (Å, degrees): 4.6207 4.6207 4.6207 60.00 60.00 60.00
Positions (direct):
Ca  0.0000  0.0000  0.0000
Nb  0.2500  0.2500  0.2500
Nb  0.7500  0.7500  0.7500
Ru  0.5000  0.5000  0.5000

Calculated values
**Spin magnetization**: 0.00 μB/cell
**Space-group type**: No. 225
**Energy of formation from the pure elements**: 42.2 kJ per mole of atoms
**Total energy**: -27.25 eV per atom

Material: CaNb3Sb
Method: DFT, meta-GGA SCAN
State: single point on PBEsol structure

Lattice parameters (Å, degrees): 5.0933 5.0933 5.0933 90.00 90.00 90.00
Positions (direct):
Ca  0.0000  0.0000  0.0000
Nb  0.0000  0.5000  0.5000
Nb  0.5000  0.0000  0.5000
Nb  0.5000  0.5000  0.0000
Sb  0.5000  0.5000  0.5000

Calculated values
**Spin magnetization**: 0.00 μB/cell
**Space-group type**: No. 221
**Uncorrected formation energy**: 1.1434 eV/atom
**Total energy**: -28.12 eV per atom

Material: CaScNb2Zn
Method: DFT, meta-GGA SCAN
State: single point on PBEsol structure

Lattice parameters (Å, degrees): 4.7409 4.7409 5.1840 90.00 90.00 90.00
Positions (direct):
Ca  0.0000  0.0000  0.0000
Sc  0.5000  0.5000  0.5000
Nb  0.0000  0.5000  0.5000
Nb  0.5000  0.0000  0.5000
Zn  0.5000  0.5000  0.0000

Calculated values
**Spin magnetization**: 0.00 μB/cell
**Space-group type**: No. 123
**Energy of formation from the pure elements**: 101.5 kJ per mole of atoms
**Total energy**: -19.68 eV per atom

Material: CaNbTc2Se
Method: DFT, meta-GGA SCAN
State: single point on PBEsol structure

Lattice parameters (Å, degrees): 4.5205 4.5205 4.8395 90.00 90.00 90.00
Positions (direct):
Ca  0.0000  0.0000  0.0000
Nb  0.0000  0.0000  0.5000
Tc  0.0000  0.5000  0.0000
Tc  0.5000  0.0000  0.0000
Se  0.5000  0.5000  0.5000

Calculated values
**Spin magnetization**: 1.56 μB/cell
**Space-group type**: No. 123
**Uncorrected formation energy**: 2.5597 eV/atom
**Total energy**: -24.04 eV per atom

Material: Ca2NbSi
Method: DFT, meta-GGA SCAN
State: single point on PBEsol structure

Lattice parameters (Å, degrees): 7.5605 7.5605 7.5605 96.25 96.25 141.47
Positions (direct):
Ca  0.3750  0.2403  0.3653
Ca  0.7597  0.1250  0.1347
Ca  0.8750  0.0097  0.6347
Ca  0.9903  0.6250  0.8653
Nb  0.2500  0.7500  0.5000
Nb  0.5000  0.5000  0.0000
Si  0.0000  0.0000  0.0000
Si  0.7500  0.2500  0.5000

Calculated values
**Spin magnetization**: 6.57 μB/cell
**Space-group type**: No. 122
**Uncorrected formation energy**: 0.4708 eV/atom
**Total energy**: -15.15 eV per atom

Material: CaNb3Sn
Method: DFT, meta-GGA SCAN
State: single point on PBEsol structure

Lattice parameters (Å, degrees): 4.6948 4.6948 4.6948 90.00 90.00 90.00
Positions (direct):
Ca  0.0000  0.0000  0.0000
Nb  0.0000  0.0000  0.5000
Nb  0.0000  0.5000  0.0000
Nb  0.5000  0.0000  0.0000
Sn  0.5000  0.5000  0.5000

Calculated values
**Spin magnetization**: 0.00 μB/cell
**Space-group type**: No. 221
**Energy of formation from the pure elements**: 192.4 kJ per mole of atoms
**Total energy**: -27.00 eV per atom

Material: CaNbTc3
Method: DFT, meta-GGA SCAN
State: single point on PBEsol structure

Lattice parameters (Å, degrees): 4.7502 4.7502 4.7502 90.00 90.00 90.00
Positions (direct):
Ca  0.0000  0.0000  0.0000
Nb  0.5000  0.5000  0.5000
Tc  0.0000  0.5000  0.5000
Tc  0.5000  0.0000  0.5000
Tc  0.5000  0.5000  0.0000

Calculated values
**Spin magnetization**: 3.04 μB/cell
**Space-group type**: No. 221
**Energy of formation from the pure elements**: 122.5 kJ per mole of atoms
**Total energy**: -28.33 eV per atom

Material: CaNbTe3
Method: DFT, meta-GGA SCAN
State: single point on PBEsol structure

Lattice parameters (Å, degrees): 5.4181 5.4181 5.4181 90.00 90.00 90.00
Positions (direct):
Ca  0.0000  0.0000  0.0000
Nb  0.5000  0.5000  0.5000
Te  0.0000  0.5000  0.5000
Te  0.5000  0.0000  0.5000
Te  0.5000  0.5000  0.0000

Calculated values
**Spin magnetization**: 0.00 μB/cell
**Space-group type**: No. 221
**Uncorrected formation energy**: -0.3792 eV/atom
**Total energy**: -31.29 eV per atom

Material: CaNbTe2
Method: DFT, meta-GGA SCAN
State: single point on PBEsol structure

Lattice parameters (Å, degrees): 10.1028 10.1028 10.1028 21.04 21.04 21.04
Positions (direct):
Ca  0.0000  0.0000  0.0000
Nb  0.5000  0.5000  0.5000
Te  0.1053  0.1053  0.1053
Te  0.8947  0.8947  0.8947

Calculated values
**Spin magnetization**: 0.00 μB/cell
**Space-group type**: No. 166
**Energy above the most stable polymorph in this dataset**: 139 meV per atom
**Uncorrected formation energy**: -0.3944 eV/atom
**Total energy**: -29.72 eV per atom

Material: CaNbTe2
Method: DFT, meta-GGA SCAN
State: single point on PBEsol structure

Lattice parameters (Å, degrees): 8.4108 8.4108 8.4108 135.11 135.11 65.36
Positions (direct):
Ca  0.0000  0.0000  0.0000
Ca  0.7500  0.2500  0.5000
Nb  0.2500  0.7500  0.5000
Nb  0.5000  0.5000  0.0000
Te  0.1670  0.6250  0.0420
Te  0.3750  0.4170  0.5420
Te  0.5830  0.1250  0.9580
Te  0.8750  0.8330  0.4580

Calculated values
**Spin magnetization**: 6.01 μB/cell
**Space-group type**: No. 122
**Energy above the most stable polymorph in this dataset**: 29 meV per atom
**Uncorrected formation energy**: -0.5043 eV/atom
**Total energy**: -29.83 eV per atom

Material: CaNb3Te
Method: DFT, meta-GGA SCAN
State: single point on PBEsol structure

Lattice parameters (Å, degrees): 5.0732 5.0732 5.0732 90.00 90.00 90.00
Positions (direct):
Ca  0.0000  0.0000  0.0000
Nb  0.0000  0.5000  0.5000
Nb  0.5000  0.0000  0.5000
Nb  0.5000  0.5000  0.0000
Te  0.5000  0.5000  0.5000

Calculated values
**Spin magnetization**: 0.00 μB/cell
**Space-group type**: No. 221
**Uncorrected formation energy**: 1.0451 eV/atom
**Total energy**: -28.22 eV per atom

Material: CaNbTe2
Method: DFT, meta-GGA SCAN
State: single point on PBEsol structure

Lattice parameters (Å, degrees): 5.0428 5.0428 5.0428 60.00 60.00 60.00
Positions (direct):
Ca  0.0000  0.0000  0.0000
Nb  0.5000  0.5000  0.5000
Te  0.2500  0.2500  0.2500
Te  0.7500  0.7500  0.7500

Calculated values
**Spin magnetization**: 0.95 μB/cell
**Space-group type**: No. 225
**Energy above the most stable polymorph in this dataset**: 0 meV per atom
**Uncorrected formation energy**: -0.5337 eV/atom
**Total energy**: -29.86 eV per atom

Material: Ca2NbTl2
Method: DFT, meta-GGA SCAN
State: single point on PBEsol structure

Lattice parameters (Å, degrees): 9.1227 9.1227 9.1227 153.49 153.49 37.83
Positions (direct):
Ca  0.0957  0.0957  0.0000
Ca  0.9043  0.9043  0.0000
Nb  0.5000  0.5000  0.0000
Tl  0.2500  0.7500  0.5000
Tl  0.7500  0.2500  0.5000

Calculated values
**Spin magnetization**: 3.86 μB/cell
**Space-group type**: No. 139
**Energy of formation from the pure elements**: 42.7 kJ per mole of atoms
**Total energy**: -38.99 eV per atom

Material: Ca2ZrNb
Method: DFT, meta-GGA SCAN
State: single point on PBEsol structure

Lattice parameters (Å, degrees): 5.2508 5.2508 5.2508 60.00 60.00 60.00
Positions (direct):
Ca  0.2500  0.2500  0.2500
Ca  0.7500  0.7500  0.7500
Zr  0.0000  0.0000  0.0000
Nb  0.5000  0.5000  0.5000

Calculated values
**Spin magnetization**: 1.91 μB/cell
**Space-group type**: No. 225
**Energy of formation from the pure elements**: 79.9 kJ per mole of atoms
**Total energy**: -19.96 eV per atom

Material: Ca3Nd
Method: DFT, meta-GGA SCAN
State: single point on PBEsol structure

Lattice parameters (Å, degrees): 5.9592 5.9592 5.9592 60.00 60.00 60.00
Positions (direct):
Ca  0.0000  0.0000  0.0000
Ca  0.2500  0.2500  0.2500
Ca  0.7500  0.7500  0.7500
Nd  0.5000  0.5000  0.5000

Calculated values
**Spin magnetization**: 0.04 μB/cell
**Space-group type**: No. 225
**Energy of formation from the pure elements**: 11.1 kJ per mole of atoms
**Total energy**: -18.03 eV per atom

Material: Ca3Nd2Sb3O14
Method: DFT, meta-GGA SCAN
State: single point on PBEsol structure

Lattice parameters (Å, degrees): 7.4446 7.4446 7.4011 119.20 119.20 60.67
Positions (direct):
Ca  0.0000  0.0000  0.0000
Ca  0.0000  0.0000  0.5000
Ca  0.5000  0.5000  0.0000
Nd  0.0000  0.5000  0.5000
Nd  0.5000  0.0000  0.5000
Sb  0.0000  0.5000  0.0000
Sb  0.5000  0.0000  0.0000
Sb  0.5000  0.5000  0.5000
O  0.1236  0.1236  0.3795
O  0.1289  0.5975  0.9036
O  0.1826  0.5872  0.3192
O  0.1867  0.1867  0.9067
O  0.4034  0.4034  0.6316
O  0.4025  0.8711  0.0964
O  0.4128  0.8174  0.6808
O  0.5872  0.1826  0.3192
O  0.5975  0.1289  0.9036
O  0.5966  0.5966  0.3684
O  0.8133  0.8133  0.0933
O  0.8174  0.4128  0.6808
O  0.8711  0.4025  0.0964
O  0.8764  0.8764  0.6205

Calculated values
**Spin magnetization**: 1.13 μB/cell
**Space-group type**: No. 12
**Uncorrected formation energy**: -2.5969 eV/atom
**Total energy**: -16.92 eV per atom

Material: CaNd2Ti2ZnO9
Method: DFT, meta-GGA SCAN
State: single point on PBEsol structure

Lattice parameters (Å, degrees): 5.4052 5.5952 23.1609 90.03 90.20 90.27
Positions (direct):
Ca  0.0000  0.0000  0.0000
Ca  0.0000  0.0002  0.3308
Ca  0.4985  0.3940  0.8274
Ca  0.5003  0.3948  0.1584
Nd  0.0072  0.0083  0.6636
Nd  0.4734  0.5091  0.6651
Nd  0.4771  0.5140  0.0000
Nd  0.4777  0.5144  0.3304
Nd  0.5074  0.3940  0.4948
Nd  0.9744  0.8954  0.4948
Nd  0.9772  0.8968  0.1594
Nd  0.9773  0.8975  0.8291
Ti  0.4740  0.9637  0.9155
Ti  0.4749  0.9644  0.2464
Ti  0.4913  0.9512  0.5796
Ti  0.9751  0.4466  0.2444
Ti  0.9758  0.4463  0.9126
Ti  0.9828  0.4497  0.7472
Ti  0.9913  0.4451  0.0798
Ti  0.9979  0.4480  0.4121
Zn  0.4886  0.9532  0.4104
Zn  0.4894  0.9555  0.0793
Zn  0.4908  0.9539  0.7485
Zn  0.9909  0.4519  0.5796
O  0.0794  0.4732  0.1637
O  0.0809  0.4741  0.8329
O  0.0840  0.4791  0.4922
O  0.1829  0.7403  0.7323
O  0.1839  0.7363  0.3938
O  0.1849  0.7367  0.0645
O  0.2021  0.7428  0.2603
O  0.2020  0.7435  0.9295
O  0.2027  0.7544  0.5963
O  0.2779  0.2567  0.7317
O  0.2819  0.2593  0.0654
O  0.2835  0.2598  0.3966
O  0.2863  0.2449  0.2613
O  0.2860  0.2451  0.9304
O  0.2981  0.2396  0.5974
O  0.3951  0.9789  0.4983
O  0.4040  0.9766  0.8351
O  0.4046  0.9750  0.1662
O  0.5843  0.9264  0.9926
O  0.5850  0.9269  0.3237
O  0.5858  0.9232  0.6607
O  0.6863  0.6653  0.5612
O  0.7005  0.6433  0.4256
O  0.7047  0.6450  0.7644
O  0.7058  0.6437  0.0941
O  0.7067  0.6543  0.2295
O  0.7065  0.6544  0.8984
O  0.7814  0.1475  0.5629
O  0.7883  0.1609  0.2290
O  0.7880  0.1614  0.8983
O  0.7955  0.1654  0.4284
O  0.8002  0.1620  0.0940
O  0.8030  0.1588  0.7629
O  0.8959  0.4260  0.6668
O  0.9060  0.4229  0.3261
O  0.9074  0.4257  0.9953

Calculated values
**Spin magnetization**: 0.00 μB/cell
**Space-group type**: No. 1
**Uncorrected formation energy**: -3.3148 eV/atom
**Total energy**: -16.55 eV per atom

Material: CaNi2
Method: DFT, meta-GGA SCAN
State: single point on PBEsol structure

Lattice parameters (Å, degrees): 3.8637 3.8637 4.0045 90.00 90.00 120.00
Positions (direct):
Ca  0.0000  0.0000  0.0000
Ni  0.3333  0.6667  0.5000
Ni  0.6667  0.3333  0.5000

Calculated values
**Spin magnetization**: 0.16 μB/cell
**Space-group type**: No. 191
**Energy of formation from the pure elements**: -1.1 kJ per mole of atoms
**Total energy**: -14.01 eV per atom

Material: Ca5Ni
Method: DFT, meta-GGA SCAN
State: single point on PBEsol structure

Lattice parameters (Å, degrees): 6.4129 6.4129 5.3339 90.00 90.00 120.00
Positions (direct):
Ca  0.0000  0.7036  0.0000
Ca  0.2964  0.2964  0.0000
Ca  0.3333  0.6667  0.5000
Ca  0.6667  0.3333  0.5000
Ca  0.7036  0.0000  0.0000
Ni  0.0000  0.0000  0.5000

Calculated values
**Spin magnetization**: 0.30 μB/cell
**Space-group type**: No. 189
**Energy of formation from the pure elements**: 27.7 kJ per mole of atoms
**Total energy**: -10.46 eV per atom

Material: CaNi
Method: DFT, meta-GGA SCAN
State: single point on PBEsol structure

Lattice parameters (Å, degrees): 4.1112 4.1112 4.1112 54.23 54.23 54.23
Positions (direct):
Ca  0.0000  0.0000  0.0000
Ni  0.5000  0.5000  0.5000

Calculated values
**Spin magnetization**: 0.00 μB/cell
**Space-group type**: No. 166
**Energy of formation from the pure elements**: 41.2 kJ per mole of atoms
**Total energy**: -12.49 eV per atom

Material: CaNi2
Method: DFT, meta-GGA SCAN
State: single point on PBEsol structure

Lattice parameters (Å, degrees): 4.9924 4.9924 4.9924 60.00 60.00 60.00
Positions (direct):
Ca  0.1250  0.1250  0.1250
Ca  0.8750  0.8750  0.8750
Ni  0.0000  0.5000  0.5000
Ni  0.5000  0.0000  0.5000
Ni  0.5000  0.5000  0.0000
Ni  0.5000  0.5000  0.5000

Calculated values
**Spin magnetization**: 0.01 μB/cell
**Space-group type**: No. 227
**Energy of formation from the pure elements**: -12.3 kJ per mole of atoms
**Total energy**: -14.13 eV per atom